Compound: YTcPt2
Source: Alexandria via LeMat-Bulk
Functional: GGA-PBE
Structure: relaxed

Computed properties:
**Energy relative to the elements**: 21 meV per atom
**Energy**: -28.8 eV/cell
**ΔE to the lowest computed polymorph**: 0.468 eV per atom

Cell lengths 9.686, 9.686, 9.686 Å; angles 17.26, 17.26, 17.26 degrees
Fractional coordinates of all 4 atoms:
Pt 0.993 0.993 0.993
Pt 0.507 0.507 0.507
Tc 0.250 0.250 0.250
Y 0.750 0.750 0.750

---

Compound: NpPa2As
Source: Alexandria via LeMat-Bulk
Functional: GGA-PBE
Structure: relaxed

Computed properties:
**Energy relative to the elements**: -336 meV per atom
**Energy**: -37.9 eV/cell
**ΔE to the lowest computed polymorph**: 0.000 eV per atom

Cell lengths 4.209, 4.489, 4.489 Å; angles 90.00, 90.00, 90.00 degrees
Fractional coordinates of all 4 atoms:
Np 0.500 0.500 0.500
As 0.500 0.000 0.000
Pa 0.000 0.000 0.500
Pa 0.000 0.500 0.000

---

Compound: Ni3OsAu
Source: Alexandria via LeMat-Bulk
Functional: GGA-PBE
Structure: relaxed

Computed properties:
**Energy relative to the elements**: 1352 meV per atom
**Energy**: -25.1 eV/cell
**ΔE to the lowest computed polymorph**: 0.000 eV per atom

Cell lengths 4.487, 4.487, 4.487 Å; angles 90.00, 90.00, 90.00 degrees
Fractional coordinates of all 5 atoms:
Os 0.000 0.000 0.000
Au 0.500 0.500 0.500
Ni 0.000 0.500 0.000
Ni 0.000 0.000 0.500
Ni 0.500 0.000 0.000

---

Compound: Pm7Dy4Mg
Source: Alexandria via LeMat-Bulk
Functional: GGA-PBE
Structure: relaxed

Computed properties:
**Energy relative to the elements**: 199 meV per atom
**Energy**: -50.9 eV/cell

Cell lengths 5.563, 6.267, 13.155 Å; angles 76.63, 77.80, 63.65 degrees
Fractional coordinates of all 12 atoms:
Pm 0.775 0.553 0.898
Pm 0.225 0.447 0.102
Pm 0.162 0.931 0.745
Pm 0.838 0.069 0.255
Pm 0.361 0.809 0.470
Pm 0.500 0.000 0.000
Pm 0.639 0.191 0.530
Dy 0.544 0.692 0.221
Dy 0.456 0.308 0.779
Dy 0.909 0.554 0.629
Dy 0.091 0.446 0.371
Mg 0.000 0.000 0.000

---

Compound: NbFeN
Source: Alexandria via LeMat-Bulk
Functional: GGA-PBE
Structure: relaxed

Computed properties:
**Energy**: -56.6 eV/cell
**Energy relative to the elements, uncorrected**: -0.47 eV per atom

Cell lengths 2.943, 4.881, 4.881 Å; angles 80.87, 90.00, 90.00 degrees
Fractional coordinates of all 6 atoms:
N 0.000 0.000 0.000
N 0.500 0.500 0.500
Nb 0.000 0.716 0.716
Nb 0.000 0.284 0.284
Fe 0.500 0.198 0.802
Fe 0.500 0.802 0.198

---

Compound: TePSN2
Source: Alexandria via LeMat-Bulk
Functional: GGA-PBE
Structure: relaxed

Computed properties:
**Energy**: -21.0 eV/cell
**ΔE to the lowest computed polymorph**: 0.702 eV per atom
**Energy relative to the elements, uncorrected**: 1.67 eV per atom

Cell lengths 3.859, 3.859, 5.970 Å; angles 90.00, 90.00, 90.00 degrees
Fractional coordinates of all 5 atoms:
P 0.500 0.500 0.500
S 0.000 0.000 0.500
Te 0.000 0.000 0.000
N 0.000 0.500 0.000
N 0.500 0.000 0.000

---

Compound: CeFe22B6
Source: Alexandria via LeMat-Bulk
Functional: GGA-PBE
Structure: relaxed

Computed properties:
**Energy relative to the elements**: -137 meV per atom
**Energy**: -236.1 eV/cell

Cell lengths 7.575, 7.575, 7.575 Å; angles 60.00, 60.00, 60.00 degrees
Fractional coordinates of all 29 atoms:
Ce 0.000 0.000 0.000
Fe 0.750 0.750 0.750
Fe 0.250 0.250 0.250
Fe 0.618 0.618 0.147
Fe 0.618 0.618 0.618
Fe 0.618 0.147 0.618
Fe 0.147 0.618 0.618
Fe 0.382 0.382 0.853
Fe 0.382 0.382 0.382
Fe 0.382 0.853 0.382
Fe 0.853 0.382 0.382
Fe 0.650 0.000 0.350
Fe 0.000 0.650 0.350
Fe 0.000 0.000 0.350
Fe 0.000 0.650 0.000
Fe 0.650 0.000 0.000
Fe 0.000 0.000 0.650
Fe 0.000 0.350 0.000
Fe 0.000 0.350 0.650
Fe 0.650 0.350 0.000
Fe 0.350 0.000 0.650
Fe 0.350 0.000 0.000
Fe 0.350 0.650 0.000
B 0.274 0.726 0.274
B 0.726 0.274 0.274
B 0.726 0.726 0.274
B 0.726 0.274 0.726
B 0.274 0.726 0.726
B 0.274 0.274 0.726

---

Compound: Ce4Sb
Source: Alexandria via LeMat-Bulk
Functional: GGA-PBE
Structure: relaxed

Computed properties:
**Energy**: -26.3 eV/cell
**ΔE to the lowest computed polymorph**: 0.663 eV per atom
**Energy relative to the elements, uncorrected**: 0.30 eV per atom

Cell lengths 5.912, 5.912, 5.912 Å; angles 90.00, 90.00, 90.00 degrees
Fractional coordinates of all 5 atoms:
Sb 0.500 0.500 0.500
Ce 0.000 0.000 0.000
Ce 0.500 0.000 0.500
Ce 0.000 0.500 0.500
Ce 0.500 0.500 0.000

---

Compound: La2CdHPd
Source: Alexandria via LeMat-Bulk
Functional: GGA-PBE
Structure: relaxed

Computed properties:
**Energy**: -21.4 eV/cell
**ΔE to the lowest computed polymorph**: 0.077 eV per atom

Cell lengths 4.988, 4.988, 4.366 Å; angles 90.00, 90.00, 90.00 degrees
Fractional coordinates of all 5 atoms:
H 0.000 0.000 0.000
Cd 0.000 0.000 0.500
Pd 0.500 0.500 0.500
La 0.000 0.500 0.000
La 0.500 0.000 0.000

---

Compound: BaOs2
Source: Alexandria via LeMat-Bulk
Functional: GGA-PBE
Structure: relaxed

Computed properties:
**Energy relative to the elements**: 857 meV per atom
**Energy**: -43.6 eV/cell
**ΔE to the lowest computed polymorph**: 0.440 eV per atom

Cell lengths 5.879, 5.879, 8.272 Å; angles 86.28, 86.28, 29.29 degrees
Fractional coordinates of all 6 atoms:
Ba 0.057 0.057 0.011
Ba 0.285 0.285 0.329
Os 0.665 0.665 0.662
Os 0.537 0.537 0.395
Os 0.974 0.974 0.642
Os 0.314 0.314 0.793

---

Compound: BaAlInHg2
Source: Alexandria via LeMat-Bulk
Functional: GGA-PBE
Structure: relaxed

Computed properties:
**Energy relative to the elements**: -312 meV per atom
**Energy**: -10.6 eV/cell
**ΔE to the lowest computed polymorph**: 0.000 eV per atom

Cell lengths 4.748, 4.748, 7.053 Å; angles 109.67, 109.67, 90.00 degrees
Fractional coordinates of all 5 atoms:
Ba 0.000 0.000 0.000
Al 0.750 0.250 0.500
In 0.250 0.750 0.500
Hg 0.618 0.618 0.236
Hg 0.382 0.382 0.764

---

Compound: Zr4Mn
Source: Alexandria via LeMat-Bulk
Functional: GGA-PBE
Structure: relaxed

Computed properties:
**Energy relative to the elements**: -14 meV per atom
**Energy**: -43.4 eV/cell
**ΔE to the lowest computed polymorph**: 0.000 eV per atom

Cell lengths 3.276, 5.824, 5.824 Å; angles 94.54, 106.34, 73.66 degrees
Fractional coordinates of all 5 atoms:
Mn 0.000 0.000 0.000
Zr 0.769 0.814 0.352
Zr 0.231 0.186 0.648
Zr 0.583 0.648 0.814
Zr 0.417 0.352 0.186